{"formula": "LiGa6", "functional": "GGA-PBE", "state": "optimized geometry", "cell": [[6.195, 0.000, 0.000], [-2.065, 5.841, 0.000], [-2.065, -2.920, 5.058]], "species": ["Ga", "Ga", "Li", "Ga", "Ga", "Ga", "Ga"], "fractional_positions": [[0.500, 0.750, 0.250], [0.250, 0.750, 0.500], [0.000, 0.000, 0.000], [0.500, 0.250, 0.750], [0.750, 0.500, 0.250], [0.750, 0.250, 0.500], [0.250, 0.500, 0.750]], "formation_enthalpy_0k_ev_per_atom": 0.19, "polymorph_energy_ev_per_fu": 1.95, "spacegroup": "Im-3m (229)"}

=====

{"formula": "LiGa7", "functional": "GGA-PBE", "state": "optimized geometry", "cell": [[-5.468, -0.166, 2.085], [-3.898, -3.712, -2.301], [-1.814, -4.627, 3.093]], "species": ["Ga", "Ga", "Li", "Ga", "Ga", "Ga", "Ga", "Ga"], "fractional_positions": [[0.500, 0.000, 0.500], [0.500, 0.500, 0.500], [0.000, 0.000, 0.000], [0.000, 0.500, 0.000], [0.000, 0.500, 0.500], [0.500, 0.500, 0.000], [0.000, 0.000, 0.500], [0.500, 0.000, 0.000]], "formation_enthalpy_0k_ev_per_atom": -0.08, "spacegroup": "Fm-3m (225)"}

=====

{"formula": "LiGa6", "functional": "GGA-PBE", "state": "optimized geometry", "cell": [[-3.108, 2.209, -2.493], [-2.448, -3.827, -0.339], [-3.148, 1.545, 5.293]], "species": ["Ga", "Ga", "Li", "Ga", "Ga", "Ga", "Ga"], "fractional_positions": [[0.000, 0.500, 0.736], [0.000, 0.500, 0.264], [0.000, 0.000, 0.000], [0.500, 0.000, 0.264], [0.500, 0.500, 0.000], [0.000, 0.000, 0.500], [0.500, 0.000, 0.736]], "formation_enthalpy_0k_ev_per_atom": -0.08, "polymorph_energy_ev_per_fu": 0.06, "spacegroup": "P4/mmm (123)"}

=====

{"formula": "Li3Ga2", "functional": "GGA-PBE", "state": "optimized geometry", "cell": [[5.415, 0.000, 0.000], [2.708, 4.690, 0.000], [2.708, 1.563, 6.759]], "species": ["Ga", "Li", "Ga", "Li", "Li", "Ga", "Li", "Ga", "Li", "Li"], "fractional_positions": [[0.813, 0.813, 0.561], [0.250, 0.750, 0.750], [0.687, 0.687, 0.939], [0.750, 0.750, 0.250], [0.750, 0.250, 0.750], [0.313, 0.313, 0.061], [0.250, 0.250, 0.750], [0.187, 0.187, 0.439], [0.750, 0.250, 0.250], [0.250, 0.750, 0.250]], "formation_enthalpy_0k_ev_per_atom": -0.17, "polymorph_energy_ev_per_fu": 0.74, "spacegroup": "R-3m (166)"}